Li2PmAu (PBE, optimized geometry); electronic total energy = -3.3165 eV per atom; excess energy over the best structure of this formula in the dataset = 0.047 eV per atom; space-group type = R3m, No. 160; formation energy = -136.1 kJ/mol of formula units; magnetization = 0.00 μB/f.u.
1.0
4.5519 0.0000 0.0000
2.2759 3.9420 0.0000
2.2759 1.3140 4.8168
Pm Au Li
1 1 2
direct
0.4957 0.4957 0.5128 Pm
0.7079 0.7079 0.8762 Au
0.0078 0.0078 0.9765 Li
0.2885 0.2885 0.1345 Li